First-principles (PBE) data for a relaxed ZrCuHg2 crystal, as listed in Alexandria via LeMat-Bulk.

The calculation puts the formation energy at 81 meV per atom. For the offset from the most stable computed form, the calculation gives 159 meV per atom.

It has space group C2/m (No. 12), with a = 9.383 Å, b = 3.227 Å, c = 5.515 Å, α = 90.00°, β = 105.17° and γ = 90.00°. The inequivalent atoms are Zr at (0.000, 0.000, 0.000), Cu at (0.000, 0.500, 0.500) and Hg at (0.235, 0.000, 0.728).